# 1
A relaxed structure of BaTa2Re. Source: Alexandria, functional GGA-PBE.

It has space group I4_1/amd (No. 141, origin choice 2), with a = 5.3412 Å, b = 5.3412 Å, c = 17.4496 Å, α = 90.00°, β = 90.00° and γ = 90.00°. The inequivalent atoms are Ba at (0.0000, 0.2500, 0.3750), Ta at (0.0000, 0.0000, 0.0000) and Re at (0.0000, 0.2500, 0.8750).

=====

# 2
A relaxed structure of Li2TmPd8. Source: Alexandria, functional GGA-PBE.

It has space group Immm (No. 71), with a = 4.1040 Å, b = 6.7828 Å, c = 12.5683 Å, α = 90.00°, β = 90.00° and γ = 90.00°. The inequivalent atoms are Li at (0.0000, 0.0000, 0.1985), Tm at (0.0000, 0.0000, 0.5000), Pd at (0.0000, 0.1969, 0.0000), Pd at (0.0000, 0.2865, 0.3391) and Pd at (0.0000, 0.5000, 0.1548).

=====

Record-wise DOS at the Fermi energy values, in states/eV/atom: 1.391; 0.973
Record-wise ΔH_f (0 K) values, in kJ/mol of formula units: 528; -419
Record-wise DFT total energy values, in eV per atom: -8.151; -4.926